(1)
The following is a PBE calculation of Ba6LiCa2 after structural relaxation, from the Alexandria database.

Properties
crystal system	monoclinic
D(E_F)	1.282	states/eV/atom
formation energy	0.128	eV/atom

a b c (Å): 9.0736 9.0736 7.0858
angles (deg): 112.94 112.94 77.69
Fractional positions:
Ba 0.1497 0.5214 0.3353
Ba 0.1760 0.8240 0.0000
Ba 0.4786 0.8503 0.6647
Ba 0.5214 0.1497 0.3353
Ba 0.8240 0.1760 0.0000
Ba 0.8503 0.4786 0.6647
Li 0.0000 0.0000 0.5000
Ca 0.3318 0.3318 0.8313
Ca 0.6682 0.6682 0.1687

(2)
The following is a PBE calculation of BaLiCa2 after structural relaxation, from the Alexandria database.

Properties
crystal system	monoclinic
relative energy among the computed polymorphs	0.0080	eV per atom
D(E_F)	1.214	states/eV/atom
formation energy	0.036	eV/atom

a b c (Å): 7.4899 7.4899 6.3888
angles (deg): 115.10 115.10 31.57
Fractional positions:
Ba 0.0000 0.0000 0.0000
Li 0.5000 0.5000 0.5000
Ca 0.2123 0.2123 0.7124
Ca 0.7877 0.7877 0.2876

(3)
The following is a PBE calculation of BaLiCa6 after structural relaxation, from the Alexandria database.

Properties
crystal system	tetragonal
relative energy among the computed polymorphs	0.1882	eV per atom
D(E_F)	1.354	states/eV/atom
formation energy	0.215	eV/atom

a b c (Å): 5.3084 5.3084 13.0966
angles (deg): 90.00 90.00 90.00
Fractional positions:
Ba 0.0000 0.0000 0.0000
Li 0.0000 0.0000 0.5000
Ca 0.0000 0.5000 0.3483
Ca 0.0000 0.5000 0.6517
Ca 0.5000 0.0000 0.3483
Ca 0.5000 0.0000 0.6517
Ca 0.5000 0.5000 0.1395
Ca 0.5000 0.5000 0.8605

(4)
The following is a PBE calculation of Ba2LiCa2 after structural relaxation, from the Alexandria database.

Properties
crystal system	tetragonal
relative energy among the computed polymorphs	0.0000	eV per atom
D(E_F)	1.336	states/eV/atom
formation energy	0.037	eV/atom

a b c (Å): 12.8672 12.8672 12.8672
angles (deg): 160.71 160.71 27.41
Fractional positions:
Ba 0.0871 0.0871 0.0000
Ba 0.9129 0.9129 0.0000
Li 0.5000 0.5000 0.0000
Ca 0.2972 0.2972 0.0000
Ca 0.7028 0.7028 0.0000

(5)
The following is a PBE calculation of Ba5LiCa4 after structural relaxation, from the Alexandria database.

Properties
crystal system	tetragonal
D(E_F)	1.664	states/eV/atom
formation energy	0.039	eV/atom

a b c (Å): 4.5571 4.5571 24.5724
angles (deg): 90.00 90.00 90.00
Fractional positions:
Ba 0.0000 0.0000 0.0000
Ba 0.0000 0.0000 0.2047
Ba 0.0000 0.0000 0.4136
Ba 0.0000 0.0000 0.5864
Ba 0.0000 0.0000 0.7953
Li 0.5000 0.5000 0.5000
Ca 0.5000 0.5000 0.1027
Ca 0.5000 0.5000 0.3072
Ca 0.5000 0.5000 0.6928
Ca 0.5000 0.5000 0.8973

(6)
The following is a PBE calculation of BaLi9Ca2 after structural relaxation, from the Alexandria database.

Properties
crystal system	trigonal
D(E_F)	0.781	states/eV/atom
formation energy	0.005	eV/atom

a b c (Å): 10.3532 10.3532 10.3532
angles (deg): 35.52 35.52 35.52
Fractional positions:
Ba 0.0000 0.0000 0.0000
Li 0.0852 0.5849 0.5849
Li 0.3325 0.3325 0.3325
Li 0.4151 0.4151 0.9148
Li 0.4151 0.9148 0.4151
Li 0.5000 0.5000 0.5000
Li 0.5849 0.0852 0.5849
Li 0.5849 0.5849 0.0852
Li 0.6675 0.6675 0.6675
Li 0.9148 0.4151 0.4151
Ca 0.1442 0.1442 0.1442
Ca 0.8558 0.8558 0.8558

What did the sixth record say?
The following is a PBE calculation of BaLi9Ca2 after structural relaxation, from the Alexandria database.

Properties
crystal system	trigonal
D(E_F)	0.781	states/eV/atom
formation energy	0.005	eV/atom

a b c (Å): 10.3532 10.3532 10.3532
angles (deg): 35.52 35.52 35.52
Fractional positions:
Ba 0.0000 0.0000 0.0000
Li 0.0852 0.5849 0.5849
Li 0.3325 0.3325 0.3325
Li 0.4151 0.4151 0.9148
Li 0.4151 0.9148 0.4151
Li 0.5000 0.5000 0.5000
Li 0.5849 0.0852 0.5849
Li 0.5849 0.5849 0.0852
Li 0.6675 0.6675 0.6675
Li 0.9148 0.4151 0.4151
Ca 0.1442 0.1442 0.1442
Ca 0.8558 0.8558 0.8558

What is the formation energy in the fourth record? 0.037 eV/atom

Which of these has the lowest D(E_F)? BaLi9Ca2

Among the records above, which one has the lowest formation energy? BaLi9Ca2